No. 1
A geometry-optimized SrZnInIr structure, computed with PBE.

The structure in POSCAR format:
```
SrZnInIr
1.0
4.445 0.000 0.000
2.222 3.849 0.000
2.222 1.283 5.798
Sr Ir In Zn
1 1 1 1
Cartesian
6.667 3.849 3.142
4.445 2.566 0.829
2.222 1.283 5.507
2.222 1.283 1.088
```

Computed properties:
space-group type	R3m (160)
spin magnetization	0.000	μB/f.u.
raw total energy	-3.932	eV per atom
ρ	7.702	g cm⁻³
formation enthalpy at 0 K	-293	meV per atom


No. 2
A geometry-optimized La2AsIr2 structure, computed with PBE.

The structure in POSCAR format:
```
La2AsIr2
1.0
5.701 0.000 0.000
0.000 5.701 0.000
2.851 2.851 3.793
As La Ir
1 2 2
Cartesian
0.000 0.000 0.000
2.851 5.701 1.897
5.701 2.851 1.897
2.851 2.851 1.280
5.701 5.701 2.513
```

Computed properties:
space-group type	I4/mmm (139)
spin magnetization	0.000	μB/f.u.
energy above the most stable polymorph in this dataset	0.0060	eV per atom
raw total energy	-7.104	eV per atom
ρ	9.928	g cm⁻³
formation enthalpy at 0 K	-659	meV per atom


No. 3
A geometry-optimized TaFeBr structure, computed with PBE.

The structure in POSCAR format:
```
TaFeBr
1.0
-2.274 -2.395 0.345
2.206 -0.149 -2.477
3.686 -3.001 3.463
Fe Ta Br
1 1 1
Cartesian
0.641 -2.803 0.739
3.010 -2.768 0.622
3.654 -2.974 3.433
```

Computed properties:
space-group type	P3m1 (156)
spin magnetization	0.049	μB/f.u.
energy above the most stable polymorph in this dataset	0.0000	eV per atom
formation energy (no corrections)	0.2143	eV per atom
raw total energy	-7.115	eV per atom
ρ	9.366	g cm⁻³


No. 4
A geometry-optimized KOsIN2 structure, computed with PBE.

The structure in POSCAR format:
```
KOsIN2
1.0
-0.505 -3.969 0.528
3.947 -0.404 0.739
-0.975 0.881 5.689
Os I K N
1 1 1 2
Cartesian
0.000 0.000 0.000
-0.487 0.441 2.844
1.233 -1.746 3.478
-0.253 -1.984 0.264
1.973 -0.202 0.369
```

Computed properties:
space-group type	P4/mmm (123)
spin magnetization	0.362	μB/f.u.
energy above the most stable polymorph in this dataset	0.0000	eV per atom
formation energy (no corrections)	0.5766	eV per atom
raw total energy	-5.529	eV per atom
ρ	6.710	g cm⁻³


No. 5
A geometry-optimized MgPdS2 structure, computed with PBE.

The structure in POSCAR format:
```
MgPdS2
1.0
5.437 0.000 0.000
0.000 5.437 0.000
2.718 2.718 5.897
Mg S Pd
2 4 2
Cartesian
2.718 5.437 2.948
2.718 2.718 0.000
6.796 6.892 4.423
1.264 4.078 1.474
4.078 3.982 4.423
4.173 1.359 1.474
0.000 0.000 0.000
5.437 2.718 2.948
```

Computed properties:
space-group type	I-42d (122)
spin magnetization	0.000	μB/f.u.
formation energy (no corrections)	-0.5778	eV per atom
raw total energy	-4.338	eV per atom
ρ	3.713	g cm⁻³


No. 6
A geometry-optimized LaNd3In structure, computed with PBE.

The structure in POSCAR format:
```
LaNd3In
1.0
-1.595 1.669 4.419
0.011 -4.646 1.758
11.562 2.337 6.104
In Nd La
2 6 2
Cartesian
6.462 2.090 8.992
2.481 -1.649 6.155
5.659 -2.194 4.695
-0.008 0.372 4.492
4.879 0.966 6.032
0.781 -2.787 3.158
8.952 0.069 10.654
9.758 1.559 7.570
3.236 -0.165 3.054
7.303 -1.063 7.674
```

Computed properties:
space-group type	Cmcm (63)
spin magnetization	0.000	μB/f.u.
energy above the most stable polymorph in this dataset	0.0000	eV per atom
raw total energy	-4.585	eV per atom
ρ	7.055	g cm⁻³
formation enthalpy at 0 K	-192	meV per atom